Record 1
This record from the Alexandria database describes crystalline AlPb2AuN at its relaxed geometry. The functional is PBE.

Cell lengths 5.358, 5.358, 4.000 Å; angles 90.00, 90.00, 90.00 degrees
Element x y z (fractional)
Al1 0.000 0.000 0.000
Pb1 0.000 0.500 0.500
Pb2 0.500 0.000 0.500
Au1 0.500 0.500 0.000
N1 0.500 0.500 0.500

Calculated values
The value obtained for the formation energy (no corrections) is 592 meV per atom. The density comes out at 9.43 g cm⁻³. The value obtained for the calculated total energy is -19.8 eV for the cell shown. As for the space group: No. 123. As for the spin magnetization: 0.000 μB/atom.



Record 2
This record from the Alexandria database describes crystalline AlAuS2N at its relaxed geometry. The functional is PBE.

Cell lengths 4.791, 4.791, 3.652 Å; angles 90.00, 90.00, 90.00 degrees
Element x y z (fractional)
Al1 0.000 0.000 0.000
Au1 0.500 0.500 0.500
S1 0.000 0.500 0.000
S2 0.500 0.000 0.000
N1 0.000 0.000 0.500

Calculated values
The value obtained for the formation energy (no corrections) is 506 meV per atom. The density comes out at 5.98 g cm⁻³. The value obtained for the calculated total energy is -21.1 eV for the cell shown. As for the space group: No. 123. As for the spin magnetization: 0.481 μB/atom.



Record 3
This record from the Alexandria database describes crystalline AlAuS2N at its relaxed geometry. The functional is PBE.

Cell lengths 5.045, 5.045, 3.763 Å; angles 90.00, 90.00, 90.00 degrees
Element x y z (fractional)
Al1 0.000 0.000 0.000
Au1 0.500 0.500 0.500
S1 0.000 0.500 0.500
S2 0.500 0.000 0.500
N1 0.500 0.500 0.000

Calculated values
The value obtained for the formation energy (no corrections) is 1058 meV per atom. The density comes out at 5.24 g cm⁻³. The value obtained for the calculated total energy is -18.3 eV for the cell shown. As for the space group: No. 123. As for the spin magnetization: 0.000 μB/atom.



Record 4
This record from the Alexandria database describes crystalline AlAuSeN2 at its relaxed geometry. The functional is PBE.

Cell lengths 3.896, 3.896, 7.890 Å; angles 90.00, 90.00, 90.00 degrees
Element x y z (fractional)
Al1 0.000 0.000 0.000
Au1 0.500 0.500 0.500
Se1 0.500 0.500 0.000
N1 0.000 0.500 0.500
N2 0.500 0.000 0.500

Calculated values
The value obtained for the formation energy (no corrections) is 1475 meV per atom. The density comes out at 4.59 g cm⁻³. The value obtained for the calculated total energy is -19.8 eV for the cell shown. As for the space group: No. 123. As for the spin magnetization: 0.617 μB/atom.



Record 5
This record from the Alexandria database describes crystalline AlAuSeN2 at its relaxed geometry. The functional is PBE.

Cell lengths 3.769, 3.769, 5.699 Å; angles 90.00, 90.00, 90.00 degrees
Element x y z (fractional)
Al1 0.000 0.000 0.000
Au1 0.500 0.500 0.500
Se1 0.000 0.000 0.500
N1 0.000 0.500 0.000
N2 0.500 0.000 0.000

Calculated values
The value obtained for the formation energy (no corrections) is 777 meV per atom. The density comes out at 6.79 g cm⁻³. The value obtained for the calculated total energy is -23.3 eV for the cell shown. As for the space group: No. 123. As for the spin magnetization: 0.528 μB/atom.



Record 6
This record from the Alexandria database describes crystalline AlSiAu2N at its relaxed geometry. The functional is PBE.

Cell lengths 5.089, 5.089, 3.470 Å; angles 90.00, 90.00, 90.00 degrees
Element x y z (fractional)
Al1 0.000 0.000 0.000
Si1 0.500 0.500 0.500
Au1 0.000 0.500 0.000
Au2 0.500 0.000 0.000
N1 0.000 0.000 0.500

Calculated values
The value obtained for the formation energy (no corrections) is 569 meV per atom. The density comes out at 8.56 g cm⁻³. The value obtained for the calculated total energy is -21.2 eV for the cell shown. As for the space group: No. 123. As for the spin magnetization: 0.000 μB/atom.



Record 7
This record from the Alexandria database describes crystalline AlSi2AuN at its relaxed geometry. The functional is PBE.

Cell lengths 4.762, 4.762, 4.879 Å; angles 90.00, 90.00, 90.00 degrees
Element x y z (fractional)
Al1 0.000 0.000 0.000
Si1 0.000 0.500 0.000
Si2 0.500 0.000 0.000
Au1 0.000 0.000 0.500
N1 0.500 0.500 0.500

Calculated values
The value obtained for the formation energy (no corrections) is 1722 meV per atom. The density comes out at 4.42 g cm⁻³. The value obtained for the calculated total energy is -17.6 eV for the cell shown. As for the space group: No. 123. As for the spin magnetization: 0.351 μB/atom.



Record 8
This record from the Alexandria database describes crystalline Al2TlAuN at its relaxed geometry. The functional is PBE.

Cell lengths 3.919, 3.919, 6.078 Å; angles 90.00, 90.00, 90.00 degrees
Element x y z (fractional)
Al1 0.000 0.500 0.000
Al2 0.500 0.000 0.000
Tl1 0.000 0.000 0.500
Au1 0.500 0.500 0.500
N1 0.500 0.500 0.000

Calculated values
The value obtained for the formation energy (no corrections) is 224 meV per atom. The density comes out at 8.35 g cm⁻³. The value obtained for the calculated total energy is -20.3 eV for the cell shown. As for the space group: No. 123. As for the spin magnetization: 0.000 μB/atom.



Record 9
This record from the Alexandria database describes crystalline NaAl7Au12 at its relaxed geometry. The functional is PBE.

Cell lengths 8.214, 8.214, 8.214 Å; angles 109.47, 109.47, 109.47 degrees
Element x y z (fractional)
Na1 0.000 0.000 0.000
Al1 0.000 0.000 0.500
Al2 0.000 0.500 0.000
Al3 0.000 0.500 0.500
Al4 0.500 0.000 0.000
Al5 0.500 0.000 0.500
Al6 0.500 0.500 0.000
Al7 0.500 0.500 0.500
Au1 0.126 0.283 0.844
Au2 0.156 0.439 0.283
Au3 0.156 0.874 0.717
Au4 0.283 0.156 0.439
Au5 0.283 0.844 0.126
Au6 0.439 0.283 0.156
Au7 0.561 0.717 0.844
Au8 0.717 0.156 0.874
Au9 0.717 0.844 0.561
Au10 0.844 0.126 0.283
Au11 0.844 0.561 0.717
Au12 0.874 0.717 0.156

Calculated values
The value obtained for the energy relative to the elements is -0.125 eV per atom. The density comes out at 10.02 g cm⁻³. The value obtained for the calculated total energy is -69.3 eV for the cell shown. As for the space group: No. 204. As for the spin magnetization: 0.000 μB/atom.



Record 10
This record from the Alexandria database describes crystalline Na12AlAu6 at its relaxed geometry. The functional is PBE.

Cell lengths 7.727, 7.727, 7.727 Å; angles 87.80, 87.80, 87.80 degrees
Element x y z (fractional)
Na1 0.030 0.316 0.906
Na2 0.094 0.970 0.684
Na3 0.114 0.353 0.464
Na4 0.316 0.906 0.030
Na5 0.353 0.464 0.114
Na6 0.464 0.114 0.353
Na7 0.536 0.886 0.647
Na8 0.647 0.536 0.886
Na9 0.684 0.094 0.970
Na10 0.886 0.647 0.536
Na11 0.906 0.030 0.316
Na12 0.970 0.684 0.094
Al1 0.500 0.500 0.500
Au1 0.246 0.735 0.388
Au2 0.265 0.612 0.754
Au3 0.388 0.246 0.735
Au4 0.612 0.754 0.265
Au5 0.735 0.388 0.246
Au6 0.754 0.265 0.612

Calculated values
The value obtained for the energy relative to the elements is -0.226 eV per atom. The density comes out at 5.36 g cm⁻³. The value obtained for the calculated total energy is -43.5 eV for the cell shown. As for the space group: No. 148. As for the spin magnetization: 0.000 μB/atom.



Record 11
This record from the Alexandria database describes crystalline NaAl4Au4 at its relaxed geometry. The functional is PBE.

Cell lengths 6.711, 6.711, 6.711 Å; angles 95.80, 95.80, 142.92 degrees
Element x y z (fractional)
Na1 0.000 0.000 0.000
Al1 0.108 0.611 0.719
Al2 0.389 0.108 0.497
Al3 0.611 0.892 0.503
Al4 0.892 0.389 0.281
Au1 0.279 0.378 0.657
Au2 0.378 0.721 0.099
Au3 0.622 0.279 0.901
Au4 0.721 0.622 0.343

Calculated values
The value obtained for the energy relative to the elements is -0.289 eV per atom. The density comes out at 8.83 g cm⁻³. The value obtained for the calculated total energy is -32.0 eV for the cell shown. As for the space group: No. 87. As for the spin magnetization: 0.000 μB/atom.



Record 12
This record from the Alexandria database describes crystalline Na3Al5Au6 at its relaxed geometry. The functional is PBE.

Cell lengths 4.469, 13.372, 9.091 Å; angles 90.00, 90.00, 90.00 degrees
Element x y z (fractional)
Na1 0.250 0.050 0.249
Na2 0.250 0.450 0.249
Na3 0.250 0.750 0.259
Na4 0.750 0.250 0.741
Na5 0.750 0.550 0.751
Na6 0.750 0.950 0.751
Al1 0.250 0.075 0.594
Al2 0.250 0.425 0.594
Al3 0.250 0.611 0.978
Al4 0.250 0.750 0.747
Al5 0.250 0.889 0.978
Al6 0.750 0.111 0.022
Al7 0.750 0.250 0.253
Al8 0.750 0.389 0.022
Al9 0.750 0.575 0.406
Al10 0.750 0.925 0.406
Au1 0.250 0.079 0.878
Au2 0.250 0.250 0.082
Au3 0.250 0.250 0.431
Au4 0.250 0.421 0.878
Au5 0.250 0.616 0.530
Au6 0.250 0.884 0.530
Au7 0.750 0.116 0.470
Au8 0.750 0.384 0.470
Au9 0.750 0.579 0.122
Au10 0.750 0.750 0.569
Au11 0.750 0.750 0.918
Au12 0.750 0.921 0.122

Calculated values
The value obtained for the energy relative to the elements is -0.365 eV per atom. The density comes out at 8.47 g cm⁻³. The value obtained for the calculated total energy is -94.9 eV for the cell shown. As for the space group: No. 59. As for the spin magnetization: 0.000 μB/atom.